This record from the Alexandria database describes crystalline LiNpMn2 at its relaxed geometry. The functional is GGA-PBE.

Structure (extended XYZ):
```
4
Lattice="4.102 0.000 0.000 0.000 4.102 0.000 0.000 0.000 3.392" Properties=species:S:1:pos:R:3 pbc="T T T"
Li 0.000 0.000 0.000
Np 2.051 2.051 0.000
Mn 0.000 2.051 1.696
Mn 2.051 0.000 1.696
```

Computed properties:
Its density of states at the Fermi level is 1.0942 states/eV per atom. For the formation energy, the calculation gives 0.97 eV/f.u. Its space-group type is No. 123.